VASP calculation (PBE) on Pr4YIn3 after structural relaxation. Values from VASP.

Calculated values
* crystal system: orthorhombic
* polymorph energy (0 for the lowest one): 30.4 meV/atom
* energy of formation: -0.32 eV/atom

Quantum ESPRESSO input file:
```
&SYSTEM
  ibrav = 0, nat = 16, ntyp = 3
/
ATOMIC_SPECIES
In 114.82 In.upf
Pr 140.91 Pr.upf
Y 88.91 Y.upf
ATOMIC_POSITIONS crystal
In 0.350 0.500 0.250
In 0.359 0.000 0.250
In 0.650 0.500 0.750
In 0.000 0.000 0.500
In 0.000 0.000 0.000
In 0.641 0.000 0.750
Pr 0.500 0.754 0.500
Pr 0.500 0.246 0.000
Pr 0.869 0.240 0.250
Pr 0.500 0.246 0.500
Pr 0.500 0.754 0.000
Pr 0.131 0.240 0.750
Pr 0.131 0.760 0.750
Pr 0.869 0.760 0.250
Y 0.000 0.500 0.000
Y 0.000 0.500 0.500
CELL_PARAMETERS angstrom
6.030 0.000 0.000
0.000 7.047 0.000
0.000 0.000 11.391
```